Entry from Alexandria via LeMat-Bulk: Tl2AgTe6As2 after structural relaxation (PBE).

Output
E_form (uncorrected): -0.03 eV per atom
calculated total energy: -3.283 eV/atom
D(E_F): 0.565 states/eV per atom
space-group type: C2/m, No. 12

a = 7.437 Å, b = 7.437 Å, c = 7.859 Å
α = 99.70°, β = 99.70°, γ = 122.64°
Element x y z (fractional)
Tl (0.839, 0.161, 0.000)
Ag (0.000, 0.000, 0.500)
Te (0.735, 0.735, 0.703)
Tl (0.161, 0.839, 0.000)
Te (0.089, 0.419, 0.724)
As (0.317, 0.683, 0.500)
Te (0.419, 0.089, 0.724)
As (0.683, 0.317, 0.500)
Te (0.581, 0.911, 0.276)
Te (0.265, 0.265, 0.297)
Te (0.911, 0.581, 0.276)

Entry from Alexandria via LeMat-Bulk: Ba3SnHg6Pb2 after structural relaxation (PBE).

Output
formation energy: -3.75 eV per formula unit
calculated total energy: -1.896 eV/atom
D(E_F): 0.479 states/eV per atom
space-group type: P-3m1, No. 164

a = 6.271 Å, b = 6.271 Å, c = 11.228 Å
α = 90.00°, β = 90.00°, γ = 120.00°
Element x y z (fractional)
Sn (0.000, 0.000, 0.500)
Hg (0.656, 0.828, 0.260)
Hg (0.344, 0.172, 0.740)
Ba (0.333, 0.667, 0.586)
Hg (0.172, 0.828, 0.260)
Pb (0.667, 0.333, 0.079)
Hg (0.828, 0.172, 0.740)
Ba (0.000, 0.000, 0.000)
Hg (0.828, 0.656, 0.740)
Hg (0.172, 0.344, 0.260)
Ba (0.667, 0.333, 0.414)
Pb (0.333, 0.667, 0.921)

Entry from Alexandria via LeMat-Bulk: AgRh after structural relaxation (PBE).

Output
formation energy: 0.49 eV per formula unit
calculated total energy: -4.856 eV/atom
D(E_F): 1.402 states/eV per atom
space-group type: C2/m, No. 12

a = 4.794 Å, b = 4.794 Å, c = 5.061 Å
α = 81.03°, β = 81.03°, γ = 33.87°
Element x y z (fractional)
Rh (0.370, 0.370, 0.911)
Rh (0.630, 0.630, 0.089)
Ag (0.123, 0.123, 0.611)
Ag (0.877, 0.877, 0.389)

Entry from Alexandria via LeMat-Bulk: RbCu2Cl after structural relaxation (PBE).

Output
E_form (uncorrected): 0.58 eV per atom
distance to the lowest polymorph of the same formula: 0.5907 eV/atom
calculated total energy: -2.174 eV/atom
D(E_F): 0.623 states/eV per atom
space-group type: Fm-3m, No. 225

a = 5.219 Å, b = 5.219 Å, c = 5.219 Å
α = 60.00°, β = 60.00°, γ = 60.00°
Element x y z (fractional)
Rb (0.500, 0.500, 0.500)
Cu (0.250, 0.250, 0.250)
Cl (0.000, 0.000, 0.000)
Cu (0.750, 0.750, 0.750)

Entry from Alexandria via LeMat-Bulk: CaMg2Re after structural relaxation (PBE).

Output
formation energy: 1.65 eV per formula unit
distance to the lowest polymorph of the same formula: 0.0036 eV/atom
calculated total energy: -3.997 eV/atom
D(E_F): 0.800 states/eV per atom
space-group type: P2/m, No. 10

a = 4.817 Å, b = 2.848 Å, c = 6.056 Å
α = 79.46°, β = 90.00°, γ = 90.00°
Element x y z (fractional)
Mg (0.000, 0.023, 0.040)
Mg (0.000, 0.477, 0.460)
Re (0.500, 0.250, 0.250)
Ca (0.500, 0.750, 0.750)

Entry from Alexandria via LeMat-Bulk: NaGa2SbF after structural relaxation (PBE).

Output
E_form (uncorrected): -0.30 eV per atom
calculated total energy: -2.978 eV/atom
D(E_F): 0.695 states/eV per atom
space-group type: P4/mmm, No. 123

a = 5.609 Å, b = 4.432 Å, c = 5.609 Å
α = 90.00°, β = 90.00°, γ = 90.00°
Element x y z (fractional)
Na (0.500, 0.500, 0.500)
F (0.000, 0.500, 0.000)
Ga (0.500, 0.000, 0.000)
Sb (0.000, 0.000, 0.000)
Ga (0.000, 0.000, 0.500)

Entry from Alexandria via LeMat-Bulk: Sm2EuRh after structural relaxation (PBE).

Output
formation energy: -1.40 eV per formula unit
distance to the lowest polymorph of the same formula: 0.0000 eV/atom
calculated total energy: -7.116 eV/atom
D(E_F): 0.872 states/eV per atom
space-group type: R-3m, No. 166

a = 4.032 Å, b = 4.032 Å, c = 9.842 Å
α = 78.18°, β = 78.18°, γ = 60.00°
Site moments in Bohr magnetons follow the coordinates.
Element x y z (fractional)
Sm (0.721, 0.721, 0.838)  0.06
Eu (0.500, 0.500, 0.500)  7.02
Rh (0.000, 0.000, 0.000)  0.02
Sm (0.279, 0.279, 0.162)  0.06

Entry from Alexandria via LeMat-Bulk: Ac2YGa after structural relaxation (PBE).

Output
formation energy: -0.67 eV per formula unit
distance to the lowest polymorph of the same formula: 0.0000 eV/atom
calculated total energy: -4.594 eV/atom
D(E_F): 1.345 states/eV per atom
space-group type: P4/mmm, No. 123

a = 3.948 Å, b = 3.948 Å, c = 8.931 Å
α = 90.00°, β = 90.00°, γ = 90.00°
Element x y z (fractional)
Y (0.500, 0.500, 0.500)
Ac (0.000, 0.000, 0.209)
Ac (0.000, 0.000, 0.791)
Ga (0.500, 0.500, 0.000)